No. 1
ZnReHg: relaxed, GGA-PBE.

Lattice parameters (Å, degrees): 6.899 6.899 6.899 156.69 156.69 33.20
Fractional positions:
Zn1 0.000 0.000 0.000
Re1 0.643 0.643 0.000
Hg1 0.320 0.320 0.000

- offset from the most stable computed form (meV per atom) = 98
- Fermi-level density of states (states/eV/f.u.) = 3.32
- total energy (eV per atom) = -4.039
- space-group type = I4mm
- total magnetic moment (μB per cell) = 0.00



No. 2
K4SmPa3Te8: relaxed, GGA-PBE.

Lattice parameters (Å, degrees): 9.880 9.880 9.880 53.47 53.47 53.47
Fractional positions:
K1 0.000 0.000 0.000
K2 0.000 0.500 0.500
K3 0.500 0.000 0.500
K4 0.500 0.500 0.000
Sm1 0.500 0.500 0.500
Pa1 0.000 0.000 0.500
Pa2 0.000 0.500 0.000
Pa3 0.500 0.000 0.000
Te1 0.236 0.740 0.740
Te2 0.239 0.239 0.239
Te3 0.260 0.260 0.764
Te4 0.260 0.764 0.260
Te5 0.740 0.236 0.740
Te6 0.740 0.740 0.236
Te7 0.761 0.761 0.761
Te8 0.764 0.260 0.260

- uncorrected formation energy (eV/atom) = -1.037
- Fermi-level density of states (states/eV/f.u.) = 18.60
- total energy (eV per atom) = -4.957
- space-group type = R-3m
- total magnetic moment (μB per cell) = 5.88



No. 3
RbErS2O8: relaxed, GGA-PBE.

Lattice parameters (Å, degrees): 5.340 5.340 8.463 90.00 90.00 120.00
Fractional positions:
Rb1 0.000 0.000 0.000
Er1 0.000 0.000 0.500
S1 0.333 0.667 0.723
S2 0.667 0.333 0.277
O1 0.124 0.373 0.660
O2 0.248 0.876 0.660
O3 0.333 0.667 0.895
O4 0.373 0.248 0.340
O5 0.627 0.752 0.660
O6 0.667 0.333 0.105
O7 0.752 0.124 0.340
O8 0.876 0.627 0.340

- uncorrected formation energy (eV/atom) = -2.107
- Fermi-level density of states (states/eV/f.u.) = 0.00
- total energy (eV per atom) = -6.562
- space-group type = P-3
- total magnetic moment (μB per cell) = 0.00



No. 4
NbTc2BIr: relaxed, GGA-PBE.

Lattice parameters (Å, degrees): 4.147 4.147 4.074 90.00 90.00 90.00
Fractional positions:
Nb1 0.000 0.000 0.000
Tc1 0.000 0.500 0.500
Tc2 0.500 0.000 0.500
B1 0.500 0.500 0.500
Ir1 0.500 0.500 0.000

- Fermi-level density of states (states/eV/f.u.) = 2.53
- total energy (eV per atom) = -9.548
- space-group type = P4/mmm
- total magnetic moment (μB per cell) = 0.00



No. 5
KOsRh3: relaxed, GGA-PBE.

Lattice parameters (Å, degrees): 4.805 4.805 4.805 90.00 90.00 90.00
Fractional positions:
K1 0.000 0.000 0.000
Os1 0.500 0.500 0.500
Rh1 0.000 0.500 0.500
Rh2 0.500 0.000 0.500
Rh3 0.500 0.500 0.000

- offset from the most stable computed form (meV per atom) = 0
- Fermi-level density of states (states/eV/f.u.) = 3.76
- total energy (eV per atom) = -5.917
- space-group type = Pm-3m
- total magnetic moment (μB per cell) = 0.00



No. 6
SrNiW2: relaxed, GGA-PBE.

Lattice parameters (Å, degrees): 4.595 4.595 4.595 60.00 60.00 60.00
Fractional positions:
Sr1 0.000 0.000 0.000
Ni1 0.500 0.500 0.500
W1 0.250 0.250 0.250
W2 0.750 0.750 0.750

- offset from the most stable computed form (meV per atom) = 1003
- Fermi-level density of states (states/eV/f.u.) = 3.83
- total energy (eV per atom) = -6.770
- space-group type = Fm-3m
- total magnetic moment (μB per cell) = 0.00



No. 7
LaYSc2Ni: relaxed, GGA-PBE.

Lattice parameters (Å, degrees): 5.164 5.164 5.221 90.00 90.00 90.00
Fractional positions:
La1 0.000 0.000 0.000
Y1 0.500 0.500 0.000
Sc1 0.000 0.500 0.500
Sc2 0.500 0.000 0.500
Ni1 0.000 0.000 0.500

- offset from the most stable computed form (meV per atom) = 93
- Fermi-level density of states (states/eV/f.u.) = 8.72
- total energy (eV per atom) = -5.972
- space-group type = P4/mmm
- total magnetic moment (μB per cell) = 0.56



No. 8
PrDyIrRu: relaxed, GGA-PBE.

Lattice parameters (Å, degrees): 4.931 4.931 4.931 60.00 60.00 60.00
Fractional positions:
Pr1 0.000 0.000 0.000
Dy1 0.500 0.500 0.500
Ir1 0.750 0.750 0.750
Ru1 0.250 0.250 0.250

- Fermi-level density of states (states/eV/f.u.) = 2.96
- total energy (eV per atom) = -7.285
- space-group type = F-43m
- total magnetic moment (μB per cell) = 0.00



No. 9
MnAuSe2: relaxed, GGA-PBE.

Lattice parameters (Å, degrees): 6.492 3.648 8.489 90.00 107.73 90.00
Fractional positions:
Mn1 0.221 0.250 0.497
Mn2 0.779 0.750 0.503
Au1 0.490 0.250 0.883
Au2 0.510 0.750 0.117
Se1 0.010 0.750 0.316
Se2 0.495 0.750 0.661
Se3 0.505 0.250 0.339
Se4 0.990 0.250 0.684

- uncorrected formation energy (eV/atom) = -0.207
- Fermi-level density of states (states/eV/f.u.) = 2.03
- total energy (eV per atom) = -5.061
- space-group type = P2_1/m
- total magnetic moment (μB per cell) = 7.04



No. 10
RbBeSb3: relaxed, GGA-PBE.

Lattice parameters (Å, degrees): 5.214 5.214 5.214 90.00 90.00 90.00
Fractional positions:
Rb1 0.000 0.000 0.000
Be1 0.500 0.500 0.500
Sb1 0.000 0.500 0.500
Sb2 0.500 0.000 0.500
Sb3 0.500 0.500 0.000

- uncorrected formation energy (eV/atom) = 0.233
- offset from the most stable computed form (meV per atom) = 0
- Fermi-level density of states (states/eV/f.u.) = 2.63
- total energy (eV per atom) = -3.179
- space-group type = Pm-3m
- total magnetic moment (μB per cell) = 0.00



No. 11
Pm3Dy3Tm: relaxed, GGA-PBE.

Lattice parameters (Å, degrees): 9.606 9.606 5.739 90.00 90.00 120.00
Fractional positions:
Pm1 0.048 0.242 0.250
Pm2 0.194 0.952 0.250
Pm3 0.242 0.194 0.750
Pm4 0.758 0.806 0.250
Pm5 0.806 0.048 0.750
Pm6 0.952 0.758 0.750
Dy1 0.095 0.478 0.750
Dy2 0.383 0.905 0.750
Dy3 0.478 0.383 0.250
Dy4 0.522 0.617 0.750
Dy5 0.617 0.095 0.250
Dy6 0.905 0.522 0.250
Tm1 0.333 0.667 0.250
Tm2 0.667 0.333 0.750

- offset from the most stable computed form (meV per atom) = 0
- Fermi-level density of states (states/eV/f.u.) = 12.22
- total energy (eV per atom) = -4.628
- space-group type = P6_3/m
- total magnetic moment (μB per cell) = 0.00



No. 12
RbNp2O5: relaxed, GGA-PBE.

Lattice parameters (Å, degrees): 6.895 6.895 6.895 150.12 130.91 58.53
Fractional positions:
Rb1 0.000 0.000 0.000
Np1 0.322 0.822 0.500
Np2 0.678 0.178 0.500
O1 0.094 0.332 0.762
O2 0.430 0.668 0.762
O3 0.500 0.000 0.500
O4 0.570 0.332 0.238
O5 0.906 0.668 0.238

- uncorrected formation energy (eV/atom) = -2.722
- Fermi-level density of states (states/eV/f.u.) = 12.31
- total energy (eV per atom) = -9.177
- space-group type = Immm
- total magnetic moment (μB per cell) = 5.00



Which value of total energy does entry 9 give? -5.061 eV per atom



What is the formula in the twelfth record? RbNp2O5



What is the formula in the sixth record? SrNiW2